1.
# FeAsPSe2

FeAsPSe2 after structural relaxation (PBE-GGA, the Alexandria database).

Calculated values
For the density of states at the Fermi level, the calculation gives 9.08 states/eV/f.u. Its raw formation energy is 1.1832 eV per atom. The theoretical density is 5.005 g/cm³. As for the distance to the lowest polymorph of the same formula: 516 meV per atom. As for the spin magnetization: 0.02 μB per atom. The value obtained for the total energy is -0.2877 Ry/atom.

abc: 4.7918 4.7918 4.6191
angles: 90.00 90.00 90.00
Last column: nearest neighbours and their distance in Å.
Positions (direct):
Fe1 0.0000 0.0000 0.0000  8 Se 3.33, 4 As 3.39
As1 0.5000 0.5000 0.0000  2 P 2.31
P1 0.5000 0.5000 0.5000  2 As 2.31, 4 Se 2.40
Se1 0.0000 0.5000 0.5000  2 P 2.40
Se2 0.5000 0.0000 0.5000  2 P 2.40

2.
# YGaAu2

YGaAu2 after structural relaxation (PBE-GGA, the Alexandria database).

Calculated values
The calculation puts the formation energy at -0.564 eV per atom. For the density of states at the Fermi level, the calculation gives 2.65 states/eV/f.u. The theoretical density is 10.976 g/cm³. As for the spin magnetization: 0.00 μB per atom. The value obtained for the total energy is -0.3363 Ry/atom.

abc: 3.6403 3.6403 6.3081
angles: 90.00 90.00 90.00
Last column: nearest neighbours and their distance in Å.
Positions (direct):
Y1 0.0000 0.0000 0.0000  8 Au 3.05, 2 Ga 3.15
Ga1 0.0000 0.0000 0.5000  8 Au 2.99, 2 Y 3.15
Au1 0.5000 0.5000 0.2592  4 Ga 2.99, 2 Au 3.04-3.27, 4 Y 3.05
Au2 0.5000 0.5000 0.7408  4 Ga 2.99, 2 Au 3.04-3.27, 4 Y 3.05

3.
# ZnIr2Cl

ZnIr2Cl after structural relaxation (PBE-GGA, the Alexandria database).

Calculated values
For the density of states at the Fermi level, the calculation gives 4.12 states/eV/f.u. Its raw formation energy is 0.4300 eV per atom. The theoretical density is 13.256 g/cm³. As for the distance to the lowest polymorph of the same formula: 286 meV per atom. As for the spin magnetization: 0.00 μB per atom. The value obtained for the total energy is -0.3514 Ry/atom.

abc: 2.8779 2.8779 8.6562
angles: 90.00 90.00 122.01
Last column: nearest neighbours and their distance in Å.
Positions (direct):
Zn1 0.0000 0.0000 0.0000  4 Ir 2.56, 2 Zn 2.79
Ir1 0.5000 0.5000 0.2486  2 Zn 2.56, 2 Cl 2.59, 2 Ir 2.79
Ir2 0.5000 0.5000 0.7514  2 Zn 2.56, 2 Cl 2.59, 2 Ir 2.79
Cl1 0.0000 0.0000 0.5000  4 Ir 2.59, 6 Cl 2.79-2.88